(1)
Material: ThCu3Sb3
Method: DFT, PBE
State: optimized geometry

Results
Energy in eV per atom: -4.411
Volume in Å³ per atom: 24.62
Crystal system: cubic
Magnetization in μB/f.u.: 0.0

The structure in POSCAR format:
```
ThCu3Sb3
1.0
-5.1766 -2.6827 -3.8939
-3.4720 -1.7630 5.8304
-3.2101 6.2331 -0.0268
Sb Cu Th
6 6 2
Direct
0.2500 0.0000 0.5000 Sb
0.0000 0.5000 0.2500 Sb
0.5000 0.7500 0.0000 Sb
0.7500 0.0000 0.5000 Sb
0.0000 0.5000 0.7500 Sb
0.5000 0.2500 0.0000 Sb
0.0000 0.2500 0.5000 Cu
0.0000 0.7500 0.5000 Cu
0.5000 0.0000 0.7500 Cu
0.7500 0.5000 0.0000 Cu
0.5000 0.0000 0.2500 Cu
0.2500 0.5000 0.0000 Cu
0.5000 0.5000 0.5000 Th
0.0000 0.0000 0.0000 Th
```

---

(2)
Material: ThCuSb3
Method: DFT, PBE
State: optimized geometry

Results
Energy in eV per atom: -5.156
Volume in Å³ per atom: 25.24
Crystal system: orthorhombic
Magnetization in μB/f.u.: 0.0

The structure in POSCAR format:
```
ThCuSb3
1.0
-0.2479 -5.5187 2.8094
4.7170 1.7276 3.8098
-8.5547 4.6930 8.4638
Th Cu Sb
4 4 12
Direct
0.7500 0.4984 0.6937 Th
0.2500 0.5016 0.3063 Th
0.7500 0.9984 0.3063 Th
0.2500 0.0016 0.6937 Th
0.5000 0.2500 0.1050 Cu
0.0000 0.7500 0.8950 Cu
0.5000 0.7500 0.8950 Cu
0.0000 0.2500 0.1050 Cu
0.0000 0.2500 0.4995 Sb
0.5000 0.7500 0.5005 Sb
0.0000 0.7500 0.5005 Sb
0.5000 0.2500 0.4995 Sb
0.2500 0.0998 0.9462 Sb
0.7500 0.9002 0.0538 Sb
0.2500 0.5998 0.0538 Sb
0.7500 0.4002 0.9462 Sb
0.2500 0.5011 0.7614 Sb
0.7500 0.4989 0.2386 Sb
0.2500 0.0011 0.2386 Sb
0.7500 0.9989 0.7614 Sb
```

---

(3)
Material: Th5CuSb5
Method: DFT, PBE
State: optimized geometry

Results
Energy in eV per atom: -6.152
Volume in Å³ per atom: 33.64
Crystal system: monoclinic
Magnetization in μB/f.u.: 0.0

The structure in POSCAR format:
```
Th5CuSb5
1.0
-4.8820 3.3919 2.1147
-0.9781 -7.6129 0.5399
4.7774 2.5190 6.9888
Th Cu Sb
5 1 5
Direct
0.8386 0.6771 0.1592 Th
0.8393 0.6786 0.6764 Th
0.5000 0.0000 0.0000 Th
0.1607 0.3214 0.3236 Th
0.1614 0.3229 0.8408 Th
0.0000 0.0000 0.0000 Cu
0.6731 0.3462 0.3382 Sb
0.6596 0.3192 0.8190 Sb
0.0000 0.0000 0.5000 Sb
0.3404 0.6808 0.1810 Sb
0.3269 0.6538 0.6618 Sb
```

---

(4)
Material: Th3CuSb2
Method: DFT, PBE
State: optimized geometry

Results
Energy in eV per atom: -6.376
Volume in Å³ per atom: 27.57
Crystal system: orthorhombic
Energy above the lowest structure with this stoichiometry in eV/atom: 0.0000
Magnetization in μB/f.u.: 0.0

The structure in POSCAR format:
```
Th3CuSb2
1.0
4.3293 0.0000 0.0000
0.0000 12.1000 0.0000
0.0000 0.0000 12.6321
Th Cu Sb
12 4 8
Direct
0.2500 0.3808 0.0506 Th
0.7500 0.6192 0.9494 Th
0.7500 0.8808 0.4494 Th
0.2500 0.1192 0.5506 Th
0.2500 0.7213 0.2246 Th
0.7500 0.2787 0.7754 Th
0.7500 0.2213 0.2754 Th
0.2500 0.7787 0.7246 Th
0.2500 0.4414 0.3805 Th
0.7500 0.5586 0.6195 Th
0.7500 0.9414 0.1195 Th
0.2500 0.0586 0.8805 Th
0.2500 0.1269 0.1240 Cu
0.7500 0.8731 0.8760 Cu
0.7500 0.6269 0.3760 Cu
0.2500 0.3731 0.6240 Cu
0.2500 0.6928 0.4844 Sb
0.7500 0.3072 0.5156 Sb
0.7500 0.1928 0.0156 Sb
0.2500 0.8072 0.9844 Sb
0.2500 0.0075 0.3063 Sb
0.7500 0.9925 0.6937 Sb
0.7500 0.5075 0.1937 Sb
0.2500 0.4925 0.8063 Sb
```

---

(5)
Material: Th3CuSb
Method: DFT, PBE
State: optimized geometry

Results
Energy in eV per atom: -6.224
Volume in Å³ per atom: 28.96
Crystal system: orthorhombic
Magnetization in μB/f.u.: 0.0

The structure in POSCAR format:
```
Th3CuSb
1.0
4.8869 0.0000 0.0000
0.0000 7.7933 0.0000
0.0000 -3.8967 7.6050
Th Cu Sb
6 2 2
Direct
0.5000 0.3158 0.0000 Th
0.0000 0.8540 0.7079 Th
0.5000 0.6842 0.0000 Th
0.5000 0.5000 0.5000 Th
0.0000 0.1460 0.2921 Th
0.5000 0.0000 0.5000 Th
0.5000 0.0802 0.1604 Cu
0.5000 0.9198 0.8396 Cu
0.0000 0.6380 0.2759 Sb
0.0000 0.3620 0.7241 Sb
```

---

(6)
Material: Th2CuSb
Method: DFT, PBE
State: optimized geometry

Results
Energy in eV per atom: -6.267
Volume in Å³ per atom: 26.59
Crystal system: monoclinic
Magnetization in μB/f.u.: 0.0

The structure in POSCAR format:
```
Th2CuSb
1.0
-1.1791 -2.6673 -2.9418
-2.5701 -3.6648 4.3529
-5.8165 5.8967 -3.0151
Th Cu Sb
4 2 2
Direct
0.7500 0.2035 0.4439 Th
0.2500 0.7965 0.5561 Th
0.2500 0.7858 0.0908 Th
0.7500 0.2142 0.9092 Th
0.7500 0.6466 0.2859 Cu
0.2500 0.3534 0.7141 Cu
0.2500 0.3421 0.2104 Sb
0.7500 0.6579 0.7896 Sb
```

---

(7)
Material: Th2CuSb
Method: DFT, PBE
State: optimized geometry

Results
Energy in eV per atom: -6.131
Volume in Å³ per atom: 26.14
Crystal system: tetragonal
Magnetization in μB/f.u.: 0.0

The structure in POSCAR format:
```
Th2CuSb
1.0
-2.9270 -2.3118 1.7280
-0.0959 -2.9406 -4.0965
3.5400 -2.9572 2.0399
Sb Cu Th
1 1 2
Direct
0.5000 0.0000 0.0000 Sb
0.5000 0.5000 0.5000 Cu
0.0000 0.0000 0.5000 Th
0.0000 0.5000 0.0000 Th
```

---

(8)
Material: Th4Cu2Sb
Method: DFT, PBE
State: optimized geometry

Results
Energy in eV per atom: -6.099
Volume in Å³ per atom: 28.42
Crystal system: trigonal
Magnetization in μB/f.u.: 0.0

The structure in POSCAR format:
```
Th4Cu2Sb
1.0
4.3272 0.0000 0.0000
2.1636 3.7474 0.0000
2.1636 1.2491 12.2667
Th Cu Sb
4 2 1
Direct
0.6976 0.6976 0.9071 Th
0.8874 0.8874 0.3377 Th
0.3024 0.3024 0.0929 Th
0.1126 0.1126 0.6623 Th
0.5989 0.5989 0.2034 Cu
0.4011 0.4011 0.7966 Cu
0.5000 0.5000 0.5000 Sb
```

---

(9)
Material: ThCu2Sb
Method: DFT, PBE
State: optimized geometry

Results
Energy in eV per atom: -5.237
Volume in Å³ per atom: 20.56
Crystal system: trigonal
Magnetization in μB/f.u.: 0.0

The structure in POSCAR format:
```
ThCu2Sb
1.0
-3.5636 0.4052 -2.4844
-2.1907 -3.5536 -1.2682
-4.7459 -0.7700 2.8508
Sb Cu Th
1 2 1
Direct
0.5000 0.5000 0.5000 Sb
0.7759 0.7759 0.6722 Cu
0.2241 0.2241 0.3278 Cu
0.0000 0.0000 0.0000 Th
```

---

(10)
Material: Ti8Cu2Sb
Method: DFT, PBE
State: optimized geometry

Results
Energy in eV per atom: -6.870
Volume in Å³ per atom: 17.20
Crystal system: monoclinic
Magnetization in μB/f.u.: 0.0

The structure in POSCAR format:
```
Ti8Cu2Sb
1.0
4.5573 -0.1730 -0.2597
-1.0036 6.9654 -0.4230
-1.0036 -3.0731 6.2652
Ti Cu Sb
8 2 1
Direct
0.8933 0.9132 0.6843 Ti
0.8933 0.6843 0.9132 Ti
0.3024 0.5907 0.5907 Ti
0.5000 0.7667 0.2333 Ti
0.5000 0.2333 0.7667 Ti
0.6976 0.4093 0.4093 Ti
0.1067 0.3157 0.0868 Ti
0.1067 0.0868 0.3157 Ti
0.0000 0.3079 0.6921 Cu
0.0000 0.6921 0.3079 Cu
0.5000 0.0000 0.0000 Sb
```

---

(11)
Material: TiCuSb2
Method: DFT, PBE
State: optimized geometry

Results
Energy in eV per atom: -5.060
Volume in Å³ per atom: 22.18
Crystal system: trigonal
Magnetization in μB/f.u.: 0.0

The structure in POSCAR format:
```
TiCuSb2
1.0
-0.6541 -2.8396 1.6653
2.4955 -2.1104 0.7638
1.8682 2.6898 8.7024
Sb Cu Ti
2 1 1
Direct
0.0918 0.0918 0.7247 Sb
0.9082 0.9082 0.2753 Sb
0.0000 0.0000 0.0000 Cu
0.5000 0.5000 0.5000 Ti
```

---

(12)
Material: TiCu2Sb
Method: DFT, PBE
State: optimized geometry

Results
Energy in eV per atom: -4.913
Volume in Å³ per atom: 17.61
Crystal system: tetragonal
Magnetization in μB/f.u.: 0.0

The structure in POSCAR format:
```
TiCu2Sb
1.0
-2.3996 1.4931 -2.5833
-2.8439 -0.1418 2.5597
-0.3563 9.5187 2.9950
Sb Cu Ti
2 4 2
Direct
0.0000 0.0000 0.0000 Sb
0.7500 0.2500 0.5000 Sb
0.6143 0.1250 0.2500 Cu
0.1357 0.6250 0.2500 Cu
0.3750 0.3857 0.7500 Cu
0.8750 0.8643 0.7500 Cu
0.5000 0.5000 0.0000 Ti
0.2500 0.7500 0.5000 Ti
```

---

(13)
Material: TiCu2Sb
Method: DFT, PBE
State: optimized geometry

Results
Energy in eV per atom: -5.215
Volume in Å³ per atom: 15.66
Crystal system: tetragonal
Magnetization in μB/f.u.: 0.0

The structure in POSCAR format:
```
TiCu2Sb
1.0
-1.0090 3.2172 2.2598
-2.5250 1.1594 -2.7781
-2.8475 -2.0964 1.7131
Sb Cu Ti
1 2 1
Direct
0.5000 0.0000 0.0000 Sb
0.0000 0.0000 0.5000 Cu
0.0000 0.5000 0.0000 Cu
0.5000 0.5000 0.5000 Ti
```

---

(14)
Material: Ti3Cu3Sb4
Method: DFT, PBE
State: optimized geometry

Results
Energy in eV per atom: -5.313
Volume in Å³ per atom: 18.94
Crystal system: cubic
Magnetization in μB/f.u.: 3.0

The structure in POSCAR format:
```
Ti3Cu3Sb4
1.0
7.4431 0.0000 -2.6315
-3.7216 6.4459 -2.6315
0.0000 0.0000 7.8946
Ti Cu Sb
6 6 8
Direct
0.6250 0.7500 0.8750 Ti
0.8750 0.2500 0.6250 Ti
0.1250 0.3750 0.2500 Ti
0.3750 0.1250 0.7500 Ti
0.2500 0.8750 0.1250 Ti
0.7500 0.6250 0.3750 Ti
0.1250 0.7500 0.3750 Cu
0.3750 0.2500 0.1250 Cu
0.6250 0.8750 0.2500 Cu
0.8750 0.6250 0.7500 Cu
0.2500 0.3750 0.6250 Cu
0.7500 0.1250 0.8750 Cu
0.0000 0.0000 0.3259 Sb
0.5000 0.3259 0.5000 Sb
0.6741 0.1741 0.1741 Sb
0.0000 0.0000 0.8259 Sb
0.8259 0.5000 0.0000 Sb
0.5000 0.8259 0.5000 Sb
0.3259 0.5000 0.0000 Sb
0.1741 0.6741 0.6741 Sb
```

---

(15)
Material: Ti5CuSb3
Method: DFT, PBE
State: optimized geometry

Results
Energy in eV per atom: -6.707
Volume in Å³ per atom: 17.75
Crystal system: hexagonal
Magnetization in μB/f.u.: 0.0

The structure in POSCAR format:
```
Ti5CuSb3
1.0
-1.6965 -0.1136 8.0046
-4.8825 -3.9141 -5.2732
3.0335 -4.5630 0.5782
Ti Cu Sb
10 2 6
Direct
0.6667 0.3333 0.5000 Ti
0.3333 0.6667 0.5000 Ti
0.3333 0.6667 0.0000 Ti
0.6667 0.3333 0.0000 Ti
0.7310 0.7310 0.2500 Ti
0.2690 0.0000 0.2500 Ti
0.0000 0.2690 0.2500 Ti
0.2690 0.2690 0.7500 Ti
0.7310 0.0000 0.7500 Ti
0.0000 0.7310 0.7500 Ti
0.0000 0.0000 0.0000 Cu
0.0000 0.0000 0.5000 Cu
0.3822 0.3822 0.2500 Sb
0.6178 0.0000 0.2500 Sb
0.0000 0.6178 0.2500 Sb
0.6178 0.6178 0.7500 Sb
0.3822 0.0000 0.7500 Sb
0.0000 0.3822 0.7500 Sb
```

---

(16)
Material: Ti3CuSb2
Method: DFT, PBE
State: optimized geometry

Results
Energy in eV per atom: -6.308
Volume in Å³ per atom: 18.19
Crystal system: orthorhombic
Magnetization in μB/f.u.: 0.0

The structure in POSCAR format:
```
Ti3CuSb2
1.0
-0.5670 1.2025 3.9428
8.2390 -4.2658 2.4858
5.4140 9.2640 -2.0468
Ti Cu Sb
12 4 8
Direct
0.2500 0.3751 0.0518 Ti
0.7500 0.6249 0.9482 Ti
0.7500 0.8751 0.4482 Ti
0.2500 0.1249 0.5518 Ti
0.2500 0.7041 0.2408 Ti
0.7500 0.2959 0.7592 Ti
0.7500 0.2041 0.2592 Ti
0.2500 0.7959 0.7408 Ti
0.2500 0.4015 0.3355 Ti
0.7500 0.5985 0.6645 Ti
0.7500 0.9015 0.1645 Ti
0.2500 0.0985 0.8355 Ti
0.2500 0.0895 0.1047 Cu
0.7500 0.9105 0.8953 Cu
0.7500 0.5895 0.3953 Cu
0.2500 0.4105 0.6047 Cu
0.2500 0.6849 0.5031 Sb
0.7500 0.3151 0.4969 Sb
0.7500 0.1849 0.9969 Sb
0.2500 0.8151 0.0031 Sb
0.2500 0.0009 0.3235 Sb
0.7500 0.9991 0.6765 Sb
0.7500 0.5009 0.1765 Sb
0.2500 0.4991 0.8235 Sb
```

---

(17)
Material: TiCuSb2
Method: DFT, PBE
State: optimized geometry

Results
Energy in eV per atom: -4.931
Volume in Å³ per atom: 21.22
Crystal system: tetragonal
Magnetization in μB/f.u.: 0.8

The structure in POSCAR format:
```
TiCuSb2
1.0
7.4012 0.0000 0.0000
0.0000 7.4012 0.0000
3.7006 3.7006 3.0991
Sb Cu Ti
4 2 2
Direct
0.6525 0.1250 0.2500 Sb
0.0975 0.6250 0.2500 Sb
0.3750 0.3475 0.7500 Sb
0.8750 0.9025 0.7500 Sb
0.0000 0.0000 0.0000 Cu
0.7500 0.2500 0.5000 Cu
0.5000 0.5000 0.0000 Ti
0.2500 0.7500 0.5000 Ti
```

---

(18)
Material: Ti12CuSb6
Method: DFT, PBE
State: optimized geometry

Results
Energy in eV per atom: -6.725
Volume in Å³ per atom: 18.68
Crystal system: trigonal
Magnetization in μB/f.u.: 0.0

The structure in POSCAR format:
```
Ti12CuSb6
1.0
-5.1589 -3.3275 3.5396
-0.7371 -4.2474 -5.6242
4.9995 -4.1494 2.8290
Ti Cu Sb
12 1 6
Direct
0.7931 0.5327 0.4399 Ti
0.4399 0.7931 0.5327 Ti
0.5327 0.4399 0.7931 Ti
0.2069 0.4673 0.5601 Ti
0.5601 0.2069 0.4673 Ti
0.4673 0.5601 0.2069 Ti
0.0524 0.1370 0.3681 Ti
0.8630 0.6319 0.9476 Ti
0.6319 0.9476 0.8630 Ti
0.9476 0.8630 0.6319 Ti
0.1370 0.3681 0.0524 Ti
0.3681 0.0524 0.1370 Ti
0.0000 0.0000 0.0000 Cu
0.7075 0.8801 0.2726 Sb
0.7274 0.2925 0.1199 Sb
0.1199 0.7274 0.2925 Sb
0.2925 0.1199 0.7274 Sb
0.2726 0.7075 0.8801 Sb
0.8801 0.2726 0.7075 Sb
```

---

(19)
Material: TiCu2Sb2
Method: DFT, PBE
State: optimized geometry

Results
Energy in eV per atom: -4.833
Volume in Å³ per atom: 18.11
Crystal system: tetragonal
Energy above the lowest structure with this stoichiometry in eV/atom: 0.0000
Magnetization in μB/f.u.: 0.0

The structure in POSCAR format:
```
TiCu2Sb2
1.0
7.0772 0.0000 0.0000
0.0000 7.0772 0.0000
0.0000 0.0000 3.6150
Sb Cu Ti
4 4 2
Direct
0.1804 0.6804 0.5000 Sb
0.6804 0.8196 0.5000 Sb
0.8196 0.3196 0.5000 Sb
0.3196 0.1804 0.5000 Sb
0.3790 0.8790 0.0000 Cu
0.8790 0.6210 0.0000 Cu
0.6210 0.1210 0.0000 Cu
0.1210 0.3790 0.0000 Cu
0.0000 0.0000 0.0000 Ti
0.5000 0.5000 0.0000 Ti
```

---

(20)
Material: TiCuSb2
Method: DFT, PBE
State: optimized geometry

Results
Energy in eV per atom: -4.920
Volume in Å³ per atom: 20.19
Crystal system: cubic
Magnetization in μB/f.u.: 0.0

The structure in POSCAR format:
```
TiCuSb2
1.0
0.0000 3.4306 3.4306
3.4306 0.0000 3.4306
3.4306 3.4306 0.0000
Sb Cu Ti
2 1 1
Direct
0.2500 0.2500 0.2500 Sb
0.7500 0.7500 0.7500 Sb
0.5000 0.5000 0.5000 Cu
0.0000 0.0000 0.0000 Ti
```